Below is a relaxed structure of Th3Nb2Ge4, with properties calculated at the PBE-GGA level.

Structure (CIF):
```
data_Th3Nb2Ge4
_chemical_formula_sum 'Th6 Nb4 Ge8'
_symmetry_space_group_name_H-M 'C 1 2/m 1'
_symmetry_Int_Tables_number 12
_cell_length_a 13.1486
_cell_length_b 4.3262
_cell_length_c 8.8721
_cell_angle_alpha 90.00
_cell_angle_beta 121.20
_cell_angle_gamma 90.00
loop_
_symmetry_equiv_pos_as_xyz
'x,y,z'
'-x,-y,-z'
'-x,y,-z'
'x,-y,z'
'x+1/2,y+1/2,z'
'-x+1/2,-y+1/2,-z'
'-x+1/2,y+1/2,-z'
'x+1/2,-y+1/2,z'
loop_
_atom_site_label
_atom_site_type_symbol
_atom_site_fract_x
_atom_site_fract_y
_atom_site_fract_z
Th1 Th 0.0000 0.0000 0.0000
Th2 Th 0.1378 0.5000 0.7328
Nb1 Nb 0.1831 0.5000 0.3851
Ge1 Ge 0.0694 0.0000 0.4118
Ge2 Ge 0.1791 0.5000 0.0922
```

* crystal system: monoclinic
* uncorrected energy: -7.333 eV/atom
* ΔE_f: -5.13 eV/f.u.